Tb2Pm3In4 PBE-GGA optimized geometry; M_tot = 0.000 μB/atom; formation enthalpy at 0 K = -0.251 eV/atom; crystal system = orthorhombic
1.0
-7.008 -1.451 -0.749
2.206 -7.506 -6.095
3.855 -4.113 6.460
Tb Pm In
4 6 8
Cartesian
1.266 -5.072 -2.018
-2.213 -7.998 1.634
0.367 -4.128 4.562
-1.313 -8.943 -4.946
0.000 0.000 0.000
-2.401 -4.479 -3.422
0.097 -8.665 -1.397
-4.547 -5.131 0.638
-1.043 -4.405 1.013
3.601 -7.940 -1.022
0.246 -10.722 1.190
-4.696 -3.074 -1.949
-1.192 -2.348 -1.574
3.750 -9.996 1.565
2.305 -9.266 -3.608
-3.251 -3.804 3.224
1.278 -6.567 0.766
-2.224 -6.503 -1.150

DyGeBi PBE-GGA optimized geometry; M_tot = 0.000 μB/atom; formation enthalpy at 0 K = -0.311 eV/atom; crystal system = tetragonal
1.0
3.944 0.000 0.000
0.000 9.606 0.000
0.000 0.000 9.606
Ge Dy Bi
4 4 4
Cartesian
1.972 6.259 3.646
1.972 3.347 5.960
0.000 3.646 3.347
0.000 5.960 6.259
1.972 8.198 5.842
0.000 3.764 8.198
0.000 5.842 1.408
1.972 1.408 3.764
1.972 3.052 1.142
0.000 8.464 3.052
0.000 1.142 6.554
1.972 6.554 8.464

AlReSbI2 PBE-GGA optimized geometry; energy relative to the elements, uncorrected = 6.5 eV per formula unit; M_tot = 0.861 μB/atom; crystal system = tetragonal
1.0
5.384 0.000 0.000
0.000 5.384 0.000
0.000 0.000 5.590
I Re Al Sb
2 1 1 1
Cartesian
0.000 2.692 0.000
2.692 0.000 0.000
2.692 2.692 2.795
0.000 0.000 0.000
0.000 0.000 2.795

CeDy2Sn PBE-GGA optimized geometry; M_tot = 0.315 μB/atom; formation enthalpy at 0 K = -0.273 eV/atom; crystal system = tetragonal
1.0
4.006 0.000 0.000
0.000 4.006 0.000
0.000 0.000 7.071
Sn Ce Dy
1 1 2
Cartesian
2.003 2.003 3.536
2.003 2.003 0.000
0.000 0.000 5.127
0.000 0.000 1.944

AlTe2Pt PBE-GGA optimized geometry; energy relative to the elements, uncorrected = 0.3 eV per formula unit; M_tot = 0.000 μB/atom; crystal system = trigonal
1.0
-2.341 3.938 -7.779
-5.032 1.018 -7.425
-5.576 4.473 -5.513
Te Al Pt
2 1 1
Cartesian
-11.497 8.371 -18.393
-1.452 1.058 -2.324
0.000 0.000 0.000
-6.475 4.714 -10.359

BaMgCd2 PBE-GGA optimized geometry; M_tot = 0.000 μB/atom; formation enthalpy at 0 K = -0.086 eV/atom; crystal system = tetragonal
1.0
5.157 0.024 -0.007
-0.028 5.157 -0.007
0.007 0.007 4.815
Ba Cd Mg
1 2 1
Cartesian
-0.010 2.582 2.404
0.000 0.000 0.000
2.564 2.590 -0.007
2.582 0.015 2.404